The following is a PBEsol calculation of an optimized crystal structure of PH2F3, from the Alexandria database.

Structure (extended XYZ):
```
12
Lattice="4.920 -0.011 0.000 -1.619 4.646 0.000 0.000 0.000 6.011" Properties=species:S:1:pos:R:3 pbc="T T T"
P 2.880 1.441 1.495
P 0.420 3.193 4.500
H 3.139 2.806 1.323
H 0.161 1.828 4.329
H 1.626 3.884 4.329
H 1.675 0.750 1.323
F 2.473 1.731 3.082
F 0.828 2.903 0.076
F 3.278 1.158 5.929
F 0.022 3.477 2.924
F 4.104 0.570 1.976
F -0.803 4.065 4.981
```

Properties
The total energy comes out at -4.62 eV/atom.